First-principles (PBE) data for a relaxed ZrAuSe crystal, as listed in Alexandria via LeMat-Bulk.

Cell lengths 4.520, 4.520, 3.633 Å; angles 90.00, 90.00, 120.00 degrees
Fractional positions:
Zr 0.000 0.000 0.000
Au 0.667 0.333 0.500
Se 0.333 0.667 0.000

Computed properties:
Relative energy among the computed polymorphs ... 324 meV per atom

First-principles (PBE) data for a relaxed LiScRu2 crystal, as listed in Alexandria via LeMat-Bulk.

Cell lengths 2.879, 3.893, 5.468 Å; angles 90.00, 90.00, 90.00 degrees
Fractional positions:
Li 0.000 0.000 0.000
Sc 0.500 0.500 0.733
Ru 0.000 0.000 0.456
Ru 0.500 0.500 0.255

Computed properties:
Calculated formation energy ... -0.011 eV/atom

First-principles (PBE) data for a relaxed Zr4PIr crystal, as listed in Alexandria via LeMat-Bulk.

Cell lengths 5.524, 5.524, 5.524 Å; angles 60.00, 60.00, 60.00 degrees
Fractional positions:
Zr 0.125 0.125 0.125
Zr 0.125 0.125 0.626
Zr 0.125 0.626 0.125
Zr 0.626 0.125 0.125
P 0.500 0.500 0.500
Ir 0.750 0.750 0.750

Computed properties:
Calculated formation energy ... 0.377 eV/atom

First-principles (PBE) data for a relaxed RbPuZnO5 crystal, as listed in Alexandria via LeMat-Bulk.

Cell lengths 6.238, 6.238, 8.121 Å; angles 106.44, 106.44, 104.57 degrees
Fractional positions:
Rb 0.169 0.831 0.750
Rb 0.831 0.169 0.250
Pu 0.500 0.500 0.000
Pu 0.500 0.500 0.500
Zn 0.194 0.806 0.250
Zn 0.806 0.194 0.750
O 0.158 0.289 0.892
O 0.233 0.605 0.400
O 0.289 0.158 0.392
O 0.395 0.767 0.100
O 0.446 0.554 0.750
O 0.554 0.446 0.250
O 0.605 0.233 0.900
O 0.711 0.842 0.608
O 0.767 0.395 0.600
O 0.842 0.711 0.108

First-principles (PBE) data for a relaxed Sm4Er8Th crystal, as listed in Alexandria via LeMat-Bulk.

Cell lengths 7.748, 7.748, 7.748 Å; angles 90.10, 90.10, 90.10 degrees
Fractional positions:
Sm 0.000 0.000 0.000
Sm 0.000 0.500 0.500
Sm 0.500 0.000 0.500
Sm 0.500 0.500 0.000
Er 0.240 0.240 0.758
Er 0.240 0.758 0.240
Er 0.241 0.241 0.241
Er 0.242 0.760 0.760
Er 0.758 0.240 0.240
Er 0.759 0.759 0.759
Er 0.760 0.242 0.760
Er 0.760 0.760 0.242
Th 0.500 0.500 0.500

Computed properties:
Calculated formation energy ... 0.520 eV/atom

First-principles (PBE) data for a relaxed Rb3PdF7 crystal, as listed in Alexandria via LeMat-Bulk.

Cell lengths 8.281, 8.281, 6.063 Å; angles 90.00, 90.00, 90.00 degrees
Fractional positions:
Rb 0.000 0.000 0.000
Rb 0.190 0.310 0.500
Rb 0.310 0.810 0.500
Rb 0.500 0.500 0.000
Rb 0.690 0.190 0.500
Rb 0.810 0.690 0.500
Pd 0.000 0.500 0.000
Pd 0.500 0.000 0.000
F 0.000 0.000 0.500
F 0.115 0.615 0.233
F 0.115 0.615 0.767
F 0.167 0.333 0.000
F 0.333 0.833 0.000
F 0.385 0.115 0.233
F 0.385 0.115 0.767
F 0.500 0.500 0.500
F 0.615 0.885 0.233
F 0.615 0.885 0.767
F 0.667 0.167 0.000
F 0.833 0.667 0.000
F 0.885 0.385 0.233
F 0.885 0.385 0.767

First-principles (PBE) data for a relaxed MnCo2As2 crystal, as listed in Alexandria via LeMat-Bulk.

Cell lengths 3.920, 3.920, 9.649 Å; angles 90.00, 90.00, 90.00 degrees
Fractional positions:
Mn 0.000 0.000 0.000
Mn 0.500 0.500 0.500
Co 0.000 0.500 0.250
Co 0.000 0.500 0.750
Co 0.500 0.000 0.250
Co 0.500 0.000 0.750
As 0.000 0.000 0.374
As 0.000 0.000 0.626
As 0.500 0.500 0.126
As 0.500 0.500 0.874

Computed properties:
Relative energy among the computed polymorphs ... 0 meV per atom
Calculated formation energy ... -0.012 eV/atom

First-principles (PBE) data for a relaxed Cr4FeSi crystal, as listed in Alexandria via LeMat-Bulk.

Cell lengths 4.674, 4.674, 4.674 Å; angles 60.00, 60.00, 60.00 degrees
Fractional positions:
Cr 0.125 0.125 0.125
Cr 0.125 0.125 0.625
Cr 0.125 0.625 0.125
Cr 0.625 0.125 0.125
Fe 0.750 0.750 0.750
Si 0.500 0.500 0.500

Results for uncorrected energy: -5.585, -6.710, -7.701, -7.162, -4.311, -4.134, -6.548, -8.518 (in eV per atom, following the order of the records).
Results for total magnetization: 0.00, 0.00, 0.00, 2.00, 1.50, 0.21, 6.67, 2.54 (in μB/cell, following the order of the records).